# NaAlTl2Sb2 (PBE-GGA, optimized geometry)
data_NaAlTl2Sb2
_chemical_formula_sum 'Na4 Al4 Tl8 Sb8'
_space_group_name_H-M_alt 'I b a m'
_space_group_IT_number 72
_space_group_name_Hall '-I 2 2c'
_cell_length_a 7.1275
_cell_length_b 14.8526
_cell_length_c 6.8923
_cell_angle_alpha 90.00
_cell_angle_beta 90.00
_cell_angle_gamma 90.00
loop_
_atom_site_label
_atom_site_type_symbol
_atom_site_fract_x
_atom_site_fract_y
_atom_site_fract_z
Na1 Na 0.0000 0.0000 0.2500
Al1 Al 0.0000 0.5000 0.2500
Tl1 Tl 0.2346 0.1691 0.0000
Sb1 Sb 0.2012 0.3904 0.0000
# Crystal system ... orthorhombic
# E_form (uncorrected) ... -0.154 eV per atom

---

# NaScAl4 (PBE-GGA, optimized geometry)
data_NaScAl4
_chemical_formula_sum 'Na4 Sc4 Al16'
_space_group_name_H-M_alt 'F -4 3 m'
_space_group_IT_number 216
_space_group_name_Hall 'F -4 2 3'
_cell_length_a 7.7364
_cell_length_b 7.7364
_cell_length_c 7.7364
_cell_angle_alpha 90.00
_cell_angle_beta 90.00
_cell_angle_gamma 90.00
loop_
_atom_site_label
_atom_site_type_symbol
_atom_site_fract_x
_atom_site_fract_y
_atom_site_fract_z
Na1 Na 0.0000 0.0000 0.0000
Sc1 Sc 0.2500 0.2500 0.7500
Al1 Al 0.1244 0.1244 0.3756
# Crystal system ... cubic
# ΔH_f (0 K) ... -0.17 eV per atom

---

# NaScAl2 (PBE-GGA, optimized geometry)
data_NaScAl2
_chemical_formula_sum 'Na4 Sc4 Al8'
_space_group_name_H-M_alt 'F m -3 m'
_space_group_IT_number 225
_space_group_name_Hall '-F 4 2 3'
_cell_length_a 6.8977
_cell_length_b 6.8977
_cell_length_c 6.8977
_cell_angle_alpha 90.00
_cell_angle_beta 90.00
_cell_angle_gamma 90.00
loop_
_atom_site_label
_atom_site_type_symbol
_atom_site_fract_x
_atom_site_fract_y
_atom_site_fract_z
Na1 Na 0.0000 0.0000 0.0000
Sc1 Sc 0.0000 0.0000 0.5000
Al1 Al 0.2500 0.2500 0.2500
# Crystal system ... cubic
# ΔH_f (0 K) ... -0.01 eV per atom
# Energy relative to the lowest polymorph listed for this composition ... 0 meV/atom

---

# NaScAl2 (PBE-GGA, optimized geometry)
data_NaScAl2
_chemical_formula_sum 'Na4 Sc4 Al8'
_space_group_name_H-M_alt 'I -4 2 d'
_space_group_IT_number 122
_space_group_name_Hall 'I -4 2bw'
_cell_length_a 7.7517
_cell_length_b 7.7517
_cell_length_c 6.0309
_cell_angle_alpha 90.00
_cell_angle_beta 90.00
_cell_angle_gamma 90.00
loop_
_atom_site_label
_atom_site_type_symbol
_atom_site_fract_x
_atom_site_fract_y
_atom_site_fract_z
Na1 Na 0.0000 0.0000 0.0000
Sc1 Sc 0.0000 0.0000 0.5000
Al1 Al 0.2491 0.7500 0.1250
# Crystal system ... tetragonal
# ΔH_f (0 K) ... 0.35 eV per atom
# Energy relative to the lowest polymorph listed for this composition ... 357 meV/atom

---

# NaSc2Al2 (PBE-GGA, optimized geometry)
data_NaSc2Al2
_chemical_formula_sum 'Na2 Sc4 Al4'
_space_group_name_H-M_alt 'P 4/m b m'
_space_group_IT_number 127
_space_group_name_Hall '-P 4 2ab'
_cell_length_a 8.6569
_cell_length_b 8.6569
_cell_length_c 3.0390
_cell_angle_alpha 90.00
_cell_angle_beta 90.00
_cell_angle_gamma 90.00
loop_
_atom_site_label
_atom_site_type_symbol
_atom_site_fract_x
_atom_site_fract_y
_atom_site_fract_z
Na1 Na 0.0000 0.0000 0.0000
Sc1 Sc 0.1232 0.3768 0.0000
Al1 Al 0.1741 0.6741 0.5000
# Crystal system ... tetragonal
# ΔH_f (0 K) ... -0.11 eV per atom
# Energy relative to the lowest polymorph listed for this composition ... 33 meV/atom

---

# Na2ScAl2 (PBE-GGA, optimized geometry)
data_Na2ScAl2
_chemical_formula_sum 'Na4 Sc2 Al4'
_space_group_name_H-M_alt 'P 4/m b m'
_space_group_IT_number 127
_space_group_name_Hall '-P 4 2ab'
_cell_length_a 8.3303
_cell_length_b 8.3303
_cell_length_c 3.4075
_cell_angle_alpha 90.00
_cell_angle_beta 90.00
_cell_angle_gamma 90.00
loop_
_atom_site_label
_atom_site_type_symbol
_atom_site_fract_x
_atom_site_fract_y
_atom_site_fract_z
Na1 Na 0.1766 0.3234 0.0000
Sc1 Sc 0.0000 0.0000 0.5000
Al1 Al 0.1207 0.6207 0.5000
# Crystal system ... tetragonal
# ΔH_f (0 K) ... 0.31 eV per atom

---

# NaScAl3 (PBE-GGA, optimized geometry)
data_NaScAl3
_chemical_formula_sum 'Na1 Sc1 Al3'
_space_group_name_H-M_alt 'P m -3 m'
_space_group_IT_number 221
_space_group_name_Hall '-P 4 2 3'
_cell_length_a 5.3468
_cell_length_b 5.3468
_cell_length_c 5.3468
_cell_angle_alpha 90.00
_cell_angle_beta 90.00
_cell_angle_gamma 90.00
loop_
_atom_site_label
_atom_site_type_symbol
_atom_site_fract_x
_atom_site_fract_y
_atom_site_fract_z
Na1 Na 0.0000 0.0000 0.0000
Sc1 Sc 0.5000 0.5000 0.5000
Al1 Al 0.0000 0.5000 0.5000
# Crystal system ... cubic
# ΔH_f (0 K) ... 0.68 eV per atom
# Energy relative to the lowest polymorph listed for this composition ... 0 meV/atom

---

# NaSc2Al2 (PBE-GGA, optimized geometry)
data_NaSc2Al2
_chemical_formula_sum 'Na2 Sc4 Al4'
_space_group_name_H-M_alt 'P 4/m b m'
_space_group_IT_number 127
_space_group_name_Hall '-P 4 2ab'
_cell_length_a 8.2471
_cell_length_b 8.2471
_cell_length_c 3.2732
_cell_angle_alpha 90.00
_cell_angle_beta 90.00
_cell_angle_gamma 90.00
loop_
_atom_site_label
_atom_site_type_symbol
_atom_site_fract_x
_atom_site_fract_y
_atom_site_fract_z
Na1 Na 0.0000 0.0000 0.0000
Sc1 Sc 0.1766 0.3234 0.5000
Al1 Al 0.1160 0.6160 0.0000
# Crystal system ... tetragonal
# ΔH_f (0 K) ... -0.14 eV per atom
# Energy relative to the lowest polymorph listed for this composition ... 0 meV/atom

---

# Na2SrScAl (PBE-GGA, optimized geometry)
data_Na2SrScAl
_chemical_formula_sum 'Na2 Sr1 Sc1 Al1'
_space_group_name_H-M_alt 'P 4/m m m'
_space_group_IT_number 123
_space_group_name_Hall '-P 4 2'
_cell_length_a 5.8363
_cell_length_b 5.8363
_cell_length_c 6.3309
_cell_angle_alpha 90.00
_cell_angle_beta 90.00
_cell_angle_gamma 90.00
loop_
_atom_site_label
_atom_site_type_symbol
_atom_site_fract_x
_atom_site_fract_y
_atom_site_fract_z
Na1 Na 0.0000 0.5000 0.0000
Sr1 Sr 0.0000 0.0000 0.5000
Sc1 Sc 0.0000 0.0000 0.0000
Al1 Al 0.5000 0.5000 0.5000
# Crystal system ... tetragonal
# ΔH_f (0 K) ... 1.04 eV per atom

---

# NaScTaAl2 (PBE-GGA, optimized geometry)
data_NaScTaAl2
_chemical_formula_sum 'Na1 Sc1 Ta1 Al2'
_space_group_name_H-M_alt 'P 4/m m m'
_space_group_IT_number 123
_space_group_name_Hall '-P 4 2'
_cell_length_a 4.6966
_cell_length_b 4.6966
_cell_length_c 4.9184
_cell_angle_alpha 90.00
_cell_angle_beta 90.00
_cell_angle_gamma 90.00
loop_
_atom_site_label
_atom_site_type_symbol
_atom_site_fract_x
_atom_site_fract_y
_atom_site_fract_z
Na1 Na 0.0000 0.0000 0.0000
Sc1 Sc 0.5000 0.5000 0.5000
Ta1 Ta 0.0000 0.0000 0.5000
Al1 Al 0.0000 0.5000 0.0000
# Crystal system ... tetragonal
# ΔH_f (0 K) ... 1.34 eV per atom

---

# NaScTa2Al (PBE-GGA, optimized geometry)
data_NaScTa2Al
_chemical_formula_sum 'Na1 Sc1 Ta2 Al1'
_space_group_name_H-M_alt 'P 4/m m m'
_space_group_IT_number 123
_space_group_name_Hall '-P 4 2'
_cell_length_a 4.7244
_cell_length_b 4.7244
_cell_length_c 4.7425
_cell_angle_alpha 90.00
_cell_angle_beta 90.00
_cell_angle_gamma 90.00
loop_
_atom_site_label
_atom_site_type_symbol
_atom_site_fract_x
_atom_site_fract_y
_atom_site_fract_z
Na1 Na 0.0000 0.0000 0.0000
Sc1 Sc 0.5000 0.5000 0.5000
Ta1 Ta 0.0000 0.5000 0.0000
Al1 Al 0.0000 0.0000 0.5000
# Crystal system ... tetragonal
# ΔH_f (0 K) ... 1.69 eV per atom

---

# NaScAlTe3 (PBE-GGA, optimized geometry)
data_NaScAlTe3
_chemical_formula_sum 'Na2 Sc2 Al2 Te6'
_space_group_name_H-M_alt 'P 1 21/m 1'
_space_group_IT_number 11
_space_group_name_Hall '-P 2yb'
_cell_length_a 8.6874
_cell_length_b 4.4393
_cell_length_c 10.9583
_cell_angle_alpha 90.00
_cell_angle_beta 109.80
_cell_angle_gamma 90.00
loop_
_atom_site_label
_atom_site_type_symbol
_atom_site_fract_x
_atom_site_fract_y
_atom_site_fract_z
Na1 Na 0.1935 0.2500 0.1716
Sc1 Sc 0.3452 0.7500 0.8743
Al1 Al 0.0856 0.2500 0.6115
Te1 Te 0.0878 0.2500 0.8505
Te2 Te 0.2308 0.7500 0.5628
Te3 Te 0.4457 0.7500 0.1547
# Crystal system ... monoclinic
# E_form (uncorrected) ... -0.774 eV per atom

---

Results for total energy: -3.16 -3.94 -3.79 -3.44 -4.40 -2.98 -3.09 -4.43 -1.84 -4.06 -5.33 -4.24 (in eV per atom, following the order of the records).
Results for magnetic moment: 0.000 0.000 0.000 0.000 0.000 0.166 0.000 0.000 0.371 0.132 0.000 0.079 (in μB/atom, following the order of the records).
Results for density: 6.39 2.52 2.47 2.23 2.43 2.04 1.62 2.49 1.58 4.64 7.17 3.99 (in g cm⁻³, following the order of the records).